{"formula": "KSi2Ni", "functional": "PBE", "state": "relaxed", "lattice_angstrom": [[3.954, 0.000, 0.000], [0.000, 3.956, 0.000], [0.000, 0.000, 4.550]], "species": ["Si", "Si", "K", "Ni"], "frac_coords": [[0.500, 0.500, 0.000], [0.000, 0.000, 0.000], [0.500, 0.000, 0.500], [0.000, 0.500, 0.500]], "rho_kg_m3": 3592, "spacegroup": "P4/mmm", "e_form_raw_ev_per_atom": 0.784}



{"formula": "KSi2Ni", "functional": "PBE", "state": "relaxed", "lattice_angstrom": [[-2.955, 2.379, 0.981], [-3.655, -0.845, -1.132], [-3.097, -2.841, 5.361]], "species": ["Si", "Si", "K", "Ni"], "frac_coords": [[0.302, 0.302, 0.096], [0.032, 0.032, 0.905], [0.496, 0.496, 0.510], [0.671, 0.671, 0.988]], "rho_kg_m3": 2991, "spacegroup": "Cm", "e_form_raw_ev_per_atom": -0.172}



{"formula": "KSi2Ni", "functional": "PBE", "state": "relaxed", "lattice_angstrom": [[-1.756, 2.235, 1.397], [-2.413, -0.687, -1.933], [-2.525, -5.084, 4.960]], "species": ["Si", "Si", "Ni", "K"], "frac_coords": [[0.500, 0.500, 0.167], [0.000, 0.000, 0.969], [0.500, 0.500, 0.863], [0.000, 0.000, 0.500]], "rho_kg_m3": 3381, "spacegroup": "P4mm", "e_form_raw_ev_per_atom": 0.144}



{"formula": "KSi2Ni", "functional": "PBE", "state": "relaxed", "lattice_angstrom": [[-2.267, 4.759, -1.444], [-3.157, 0.071, 4.461], [5.341, 0.297, -1.124]], "species": ["Ni", "Si", "Si", "K"], "frac_coords": [[0.868, 0.368, 0.500], [0.983, 0.983, 0.000], [0.155, 0.655, 0.500], [0.494, 0.494, 0.000]], "rho_kg_m3": 2516, "spacegroup": "Imm2", "e_form_raw_ev_per_atom": 0.389}



{"formula": "KSiNi", "functional": "PBE", "state": "relaxed", "lattice_angstrom": [[-1.311, -3.118, 5.407], [3.068, -3.864, 4.042], [-0.910, 5.357, -3.340]], "species": ["K", "Si", "Ni"], "frac_coords": [[0.002, 0.002, 0.000], [0.734, 0.734, 0.000], [0.264, 0.264, 0.000]], "rho_kg_m3": 3436, "spacegroup": "Imm2", "e_form_raw_ev_per_atom": 0.041}



{"formula": "KSi2Ni", "functional": "PBE", "state": "relaxed", "lattice_angstrom": [[5.941, 0.004, 0.001], [2.591, 5.346, -0.001], [-3.178, -4.410, 2.396]], "species": ["Si", "Si", "K", "Ni"], "frac_coords": [[0.942, 0.942, 0.000], [0.558, 0.558, 0.000], [0.250, 0.750, 0.500], [0.750, 0.250, 0.500]], "rho_kg_m3": 3361, "spacegroup": "Immm", "e_form_raw_ev_per_atom": 0.258}



{"formula": "KSi2Ni2", "functional": "PBE", "state": "relaxed", "lattice_angstrom": [[3.956, 0.000, 0.000], [0.000, 3.956, 0.000], [1.978, 1.978, 6.131]], "species": ["Si", "Si", "Ni", "Ni", "K"], "frac_coords": [[0.750, 0.250, 0.500], [0.250, 0.750, 0.500], [0.657, 0.657, 0.686], [0.343, 0.343, 0.314], [0.000, 0.000, 0.000]], "rho_kg_m3": 3681, "spacegroup": "I4/mmm", "e_form_raw_ev_per_atom": -0.061}



{"formula": "KSiNi", "functional": "PBE", "state": "relaxed", "lattice_angstrom": [[3.882, 0.000, 0.000], [-1.941, 3.362, 0.000], [0.000, 0.000, 5.337]], "species": ["Si", "K", "Ni"], "frac_coords": [[0.333, 0.667, 0.500], [0.000, 0.000, 0.000], [0.667, 0.333, 0.500]], "rho_kg_m3": 3001, "spacegroup": "P-6m2", "e_form_raw_ev_per_atom": 0.070}



{"formula": "KSiNi", "functional": "PBE", "state": "relaxed", "lattice_angstrom": [[-0.245, 0.629, 4.469], [-3.093, -2.227, 2.430], [1.283, -3.292, 2.819]], "species": ["Ni", "K", "Si"], "frac_coords": [[0.750, 0.750, 0.750], [0.500, 0.500, 0.500], [0.000, 0.000, 0.000]], "rho_kg_m3": 3201, "spacegroup": "F-43m", "e_form_raw_ev_per_atom": 0.788}



{"formula": "K2Si2Ni", "functional": "PBE", "state": "relaxed", "lattice_angstrom": [[4.057, 0.000, 0.000], [0.000, 4.057, 0.000], [2.029, 2.029, 7.110]], "species": ["Si", "Si", "K", "K", "Ni"], "frac_coords": [[0.577, 0.577, 0.847], [0.423, 0.423, 0.153], [0.250, 0.750, 0.500], [0.750, 0.250, 0.500], [0.000, 0.000, 0.000]], "rho_kg_m3": 2739, "spacegroup": "I4/mmm", "e_form_raw_ev_per_atom": 0.850}



{"formula": "KSi3Ni", "functional": "PBE", "state": "relaxed", "lattice_angstrom": [[-4.441, -0.322, 1.219], [0.953, -3.779, 2.474], [0.826, 2.632, 3.702]], "species": ["Si", "Si", "Si", "Ni", "K"], "frac_coords": [[0.000, 0.000, 0.500], [0.500, 0.000, 0.000], [0.000, 0.500, 0.000], [0.000, 0.000, 0.000], [0.500, 0.500, 0.500]], "rho_kg_m3": 3073, "spacegroup": "Pm-3m", "e_form_raw_ev_per_atom": 0.425}



{"formula": "KSi2Ni2", "functional": "PBE", "state": "relaxed", "lattice_angstrom": [[4.015, 0.000, 0.000], [0.000, 4.015, 0.000], [2.007, 2.007, 5.961]], "species": ["Ni", "Ni", "Si", "Si", "K"], "frac_coords": [[0.250, 0.750, 0.500], [0.750, 0.250, 0.500], [0.661, 0.661, 0.677], [0.339, 0.339, 0.323], [0.000, 0.000, 0.000]], "rho_kg_m3": 3676, "spacegroup": "I4/mmm", "e_form_raw_ev_per_atom": -0.176}



Number 1: magnetic moment 0.0 μB per formula unit, E above lowest polymorph 0.968 eV per atom. Number 2: magnetic moment 0.0 μB per formula unit, E above lowest polymorph 0.012 eV per atom. Number 3: magnetic moment 0.0 μB per formula unit, E above lowest polymorph 0.328 eV per atom. Number 4: magnetic moment 0.0 μB per formula unit, E above lowest polymorph 0.573 eV per atom. Number 5: magnetic moment 0.0 μB per formula unit, E above lowest polymorph 0.218 eV per atom. Number 6: magnetic moment 0.0 μB per formula unit, E above lowest polymorph 0.442 eV per atom. Number 7: magnetic moment 0.0 μB per formula unit, E above lowest polymorph 0.114 eV per atom. Number 8: magnetic moment 0.0 μB per formula unit, E above lowest polymorph 0.247 eV per atom. Number 9: magnetic moment 0.0 μB per formula unit, E above lowest polymorph 0.966 eV per atom. Number 10: magnetic moment 0.0 μB per formula unit, E above lowest polymorph 0.702 eV per atom. Number 11: magnetic moment 0.0 μB per formula unit, E above lowest polymorph 0.000 eV per atom. Number 12: magnetic moment 0.0 μB per formula unit, E above lowest polymorph 0.000 eV per atom.